Here is an optimized crystal structure of NpU2Te5 from the Alexandria database. Energies are from PBE.

```
data_NpU2Te5
_symmetry_space_group_name_H-M 'P 1'
_symmetry_Int_Tables_number 1
_symmetry_space_group_name_Hall 'P 1'
_cell_length_a 5.351
_cell_length_b 7.458
_cell_length_c 7.458
_cell_angle_alpha 90.00
_cell_angle_beta 90.00
_cell_angle_gamma 90.00
loop_
_atom_site_label
_atom_site_type_symbol
_atom_site_fract_x
_atom_site_fract_y
_atom_site_fract_z
_atom_site_occupancy
Np1 Np 0.000 0.000 0.000 1
Te1 Te 0.500 0.000 0.000 1
Te2 Te 0.000 0.276 0.724 1
Te3 Te 0.000 0.276 0.276 1
Te4 Te 0.000 0.724 0.724 1
Te5 Te 0.000 0.724 0.276 1
U1 U 0.500 0.500 0.000 1
U2 U 0.500 0.000 0.500 1
```

Calculated values
Raw formation energy ... 16.3 kJ/mol of atoms
Space-group type ... No. 123
Theoretical density ... 7.536 g cm⁻³
E ... -49.88 eV for the cell shown